<1>
! Cs2ZnAu (GGA-PBE, relaxed); values from VASP
&SYSTEM
  ibrav = 0, nat = 4, ntyp = 3
/
ATOMIC_SPECIES
Cs 132.91 Cs.upf
Zn 65.41 Zn.upf
Au 196.97 Au.upf
CELL_PARAMETERS angstrom
4.694 0.000 1.039
2.236 4.133 1.019
0.210 0.134 10.170
ATOMIC_POSITIONS crystal
Cs 0.888 0.647 0.577
Cs 0.717 0.484 0.081
Zn 0.136 0.899 0.829
Au 0.469 0.232 0.830
! M_tot: 0.000 μB/f.u.
! Volume: 49.0 Å³ per atom



<2>
! Cs2ZnAu (GGA-PBE, relaxed); values from VASP
&SYSTEM
  ibrav = 0, nat = 4, ntyp = 3
/
ATOMIC_SPECIES
Cs 132.91 Cs.upf
Zn 65.41 Zn.upf
Au 196.97 Au.upf
CELL_PARAMETERS angstrom
4.804 0.000 0.000
0.000 5.545 0.000
0.000 -2.772 6.719
ATOMIC_POSITIONS crystal
Cs 0.000 0.980 0.961
Cs 0.500 0.269 0.539
Zn 0.000 0.667 0.333
Au 0.500 0.583 0.165
! M_tot: 0.000 μB/f.u.
! Volume: 44.7 Å³ per atom



Which structure is the most stable? The one labeled <1>.



<1>
! Cs2ZnAu2 (GGA-PBE, relaxed); values from VASP
&SYSTEM
  ibrav = 0, nat = 5, ntyp = 3
/
ATOMIC_SPECIES
Cs 132.91 Cs.upf
Zn 65.41 Zn.upf
Au 196.97 Au.upf
CELL_PARAMETERS angstrom
7.054 0.000 0.000
0.000 7.054 0.000
3.527 3.527 3.938
ATOMIC_POSITIONS crystal
Cs 0.750 0.250 0.500
Cs 0.250 0.750 0.500
Zn 0.000 0.000 0.000
Au 0.326 0.326 0.348
Au 0.674 0.674 0.652
! M_tot: 0.000 μB/f.u.
! Volume: 39.2 Å³ per atom



<2>
! Cs2ZnAu2 (GGA-PBE, relaxed); values from VASP
&SYSTEM
  ibrav = 0, nat = 10, ntyp = 3
/
ATOMIC_SPECIES
Cs 132.91 Cs.upf
Zn 65.41 Zn.upf
Au 196.97 Au.upf
CELL_PARAMETERS angstrom
-4.784 0.455 1.019
-0.667 -8.859 0.820
4.432 0.477 8.753
ATOMIC_POSITIONS crystal
Cs 0.036 0.288 0.071
Cs 0.220 0.612 0.441
Cs 0.780 0.112 0.559
Cs 0.964 0.788 0.929
Zn 0.608 0.896 0.216
Zn 0.392 0.396 0.784
Au 0.576 0.606 0.152
Au 0.142 0.963 0.285
Au 0.858 0.463 0.715
Au 0.424 0.106 0.848
! M_tot: 0.000 μB/f.u.
! Volume: 41.7 Å³ per atom



Which structure is the most stable? The one labeled <2>.



<1>
! Cs2ZnAu2 (GGA-PBE, relaxed); values from VASP
&SYSTEM
  ibrav = 0, nat = 10, ntyp = 3
/
ATOMIC_SPECIES
Cs 132.91 Cs.upf
Zn 65.41 Zn.upf
Au 196.97 Au.upf
CELL_PARAMETERS angstrom
-5.681 -5.743 -0.680
5.701 -5.401 -2.015
0.643 -1.247 5.162
ATOMIC_POSITIONS crystal
Cs 0.173 0.673 0.500
Cs 0.673 0.827 0.500
Cs 0.827 0.327 0.500
Cs 0.327 0.173 0.500
Zn 0.000 0.000 0.000
Zn 0.500 0.500 0.000
Au 0.370 0.870 0.000
Au 0.870 0.630 0.000
Au 0.630 0.130 0.000
Au 0.130 0.370 0.000
! M_tot: 0.000 μB/f.u.
! Volume: 35.2 Å³ per atom



<2>
! Cs2ZnAu2 (GGA-PBE, relaxed); values from VASP
&SYSTEM
  ibrav = 0, nat = 10, ntyp = 3
/
ATOMIC_SPECIES
Cs 132.91 Cs.upf
Zn 65.41 Zn.upf
Au 196.97 Au.upf
CELL_PARAMETERS angstrom
4.631 0.000 0.915
2.154 6.683 1.279
-0.053 0.985 12.449
ATOMIC_POSITIONS crystal
Cs 0.594 0.715 0.097
Cs 0.799 0.762 0.639
Cs 0.406 0.285 0.903
Cs 0.201 0.238 0.361
Zn 0.936 0.799 0.329
Zn 0.064 0.201 0.671
Au 0.130 0.892 0.848
Au 0.463 0.668 0.407
Au 0.870 0.108 0.152
Au 0.537 0.332 0.593
! M_tot: 0.000 μB/f.u.
! Volume: 38.2 Å³ per atom



Which structure is the most stable? The one labeled <2>.



<1>
! Cs3ZnAu (GGA-PBE, relaxed); values from VASP
&SYSTEM
  ibrav = 0, nat = 10, ntyp = 3
/
ATOMIC_SPECIES
Cs 132.91 Cs.upf
Zn 65.41 Zn.upf
Au 196.97 Au.upf
CELL_PARAMETERS angstrom
-0.410 -4.346 -2.269
5.742 -4.898 8.344
-9.209 -1.863 5.244
ATOMIC_POSITIONS crystal
Cs 0.249 0.059 0.340
Cs 0.751 0.941 0.660
Cs 0.249 0.441 0.340
Cs 0.751 0.559 0.660
Cs 0.749 0.250 0.919
Cs 0.251 0.750 0.081
Zn 0.248 0.250 0.632
Zn 0.752 0.750 0.368
Au 0.748 0.250 0.552
Au 0.252 0.750 0.448
! M_tot: 0.000 μB/f.u.
! Volume: 59.6 Å³ per atom



<2>
! Cs3ZnAu (GGA-PBE, relaxed); values from VASP
&SYSTEM
  ibrav = 0, nat = 5, ntyp = 3
/
ATOMIC_SPECIES
Cs 132.91 Cs.upf
Zn 65.41 Zn.upf
Au 196.97 Au.upf
CELL_PARAMETERS angstrom
-5.835 -2.335 -3.021
3.443 -5.602 -2.323
-1.649 -3.435 5.840
ATOMIC_POSITIONS crystal
Cs 0.000 0.500 0.000
Cs 0.000 0.000 0.500
Cs 0.500 0.000 0.000
Zn 0.500 0.500 0.500
Au 0.000 0.000 0.000
! M_tot: 0.797 μB/f.u.
! Volume: 67.8 Å³ per atom



Which structure is the most stable? The one labeled <1>.



<1>
! Cs3Zn2Au4 (GGA-PBE, relaxed); values from VASP
&SYSTEM
  ibrav = 0, nat = 9, ntyp = 3
/
ATOMIC_SPECIES
Cs 132.91 Cs.upf
Zn 65.41 Zn.upf
Au 196.97 Au.upf
CELL_PARAMETERS angstrom
-4.985 -4.685 -1.919
-1.852 -3.948 -5.609
3.796 -8.586 1.508
ATOMIC_POSITIONS crystal
Cs 0.606 0.606 0.316
Cs 0.000 0.000 0.000
Cs 0.394 0.394 0.684
Zn 0.686 0.686 0.670
Zn 0.314 0.314 0.330
Au 0.730 0.730 0.925
Au 0.270 0.270 0.075
Au 0.847 0.847 0.401
Au 0.153 0.153 0.599
! M_tot: 0.000 μB/f.u.
! Volume: 33.0 Å³ per atom



<2>
! Cs3Zn2Au4 (GGA-PBE, relaxed); values from VASP
&SYSTEM
  ibrav = 0, nat = 9, ntyp = 3
/
ATOMIC_SPECIES
Cs 132.91 Cs.upf
Zn 65.41 Zn.upf
Au 196.97 Au.upf
CELL_PARAMETERS angstrom
-3.658 -0.844 3.046
4.584 -2.122 4.917
0.640 10.047 -0.285
ATOMIC_POSITIONS crystal
Cs 0.844 0.451 0.687
Cs 0.156 0.549 0.313
Cs 0.000 0.000 0.000
Zn 0.341 0.009 0.683
Zn 0.659 0.991 0.317
Au 0.453 0.315 0.905
Au 0.789 0.927 0.578
Au 0.547 0.685 0.095
Au 0.211 0.073 0.422
! M_tot: 0.000 μB/f.u.
! Volume: 35.5 Å³ per atom



Which structure is the most stable? The one labeled <2>.



<1>
! CsZr2Au (GGA-PBE, relaxed); values from VASP
&SYSTEM
  ibrav = 0, nat = 4, ntyp = 3
/
ATOMIC_SPECIES
Cs 132.91 Cs.upf
Au 196.97 Au.upf
Zr 91.22 Zr.upf
CELL_PARAMETERS angstrom
2.155 -3.725 2.685
2.110 1.011 4.500
-2.199 -1.654 4.261
ATOMIC_POSITIONS crystal
Cs 0.000 0.000 0.000
Au 0.500 0.500 0.500
Zr 0.250 0.250 0.250
Zr 0.750 0.750 0.750
! M_tot: 0.000 μB/f.u.
! Volume: 23.1 Å³ per atom



<2>
! CsZr2Au (GGA-PBE, relaxed); values from VASP
&SYSTEM
  ibrav = 0, nat = 8, ntyp = 3
/
ATOMIC_SPECIES
Cs 132.91 Cs.upf
Au 196.97 Au.upf
Zr 91.22 Zr.upf
CELL_PARAMETERS angstrom
4.769 0.000 0.000
0.000 4.769 0.000
2.384 2.384 10.954
ATOMIC_POSITIONS crystal
Cs 0.500 0.500 0.000
Cs 0.250 0.750 0.500
Au 0.000 0.000 0.000
Au 0.750 0.250 0.500
Zr 0.748 0.125 0.250
Zr 0.002 0.625 0.250
Zr 0.375 0.252 0.750
Zr 0.875 0.998 0.750
! M_tot: 0.001 μB/f.u.
! Volume: 31.1 Å³ per atom



Which structure is the most stable? The one labeled <1>.



<1>
! CsZr3Au (GGA-PBE, relaxed); values from VASP
&SYSTEM
  ibrav = 0, nat = 5, ntyp = 3
/
ATOMIC_SPECIES
Cs 132.91 Cs.upf
Au 196.97 Au.upf
Zr 91.22 Zr.upf
CELL_PARAMETERS angstrom
-2.199 -4.228 -2.129
1.237 -2.779 4.242
-4.569 1.283 2.173
ATOMIC_POSITIONS crystal
Cs 0.000 0.000 0.000
Au 0.500 0.500 0.500
Zr 0.000 0.500 0.000
Zr 0.000 0.000 0.500
Zr 0.500 0.000 0.000
! M_tot: 2.092 μB/f.u.
! Volume: 28.4 Å³ per atom



<2>
! CsZr3Au (GGA-PBE, relaxed); values from VASP
&SYSTEM
  ibrav = 0, nat = 5, ntyp = 3
/
ATOMIC_SPECIES
Cs 132.91 Cs.upf
Au 196.97 Au.upf
Zr 91.22 Zr.upf
CELL_PARAMETERS angstrom
-4.962 -1.376 1.571
2.030 -4.126 2.799
0.488 3.173 4.322
ATOMIC_POSITIONS crystal
Cs 0.500 0.500 0.500
Au 0.000 0.000 0.000
Zr 0.000 0.500 0.000
Zr 0.000 0.000 0.500
Zr 0.500 0.000 0.000
! M_tot: 0.000 μB/f.u.
! Volume: 31.2 Å³ per atom



Which structure is the most stable? The one labeled <2>.



<1>
! CuAu2 (GGA-PBE, relaxed); values from VASP
&SYSTEM
  ibrav = 0, nat = 6, ntyp = 2
/
ATOMIC_SPECIES
Cu 63.55 Cu.upf
Au 196.97 Au.upf
CELL_PARAMETERS angstrom
5.139 -1.596 -0.137
-1.605 5.136 -0.137
-1.541 -1.544 4.257
ATOMIC_POSITIONS crystal
Cu 0.126 0.874 0.750
Cu 0.874 0.126 0.250
Au 0.201 0.449 0.906
Au 0.551 0.799 0.594
Au 0.799 0.551 0.094
Au 0.449 0.201 0.406
! M_tot: 0.000 μB/f.u.
! Volume: 16.4 Å³ per atom



<2>
! CuAu2 (GGA-PBE, relaxed); values from VASP
&SYSTEM
  ibrav = 0, nat = 3, ntyp = 2
/
ATOMIC_SPECIES
Au 196.97 Au.upf
Cu 63.55 Cu.upf
CELL_PARAMETERS angstrom
-0.251 -2.449 -1.510
2.460 -0.969 1.161
-4.102 -0.674 4.537
ATOMIC_POSITIONS crystal
Au 0.345 0.345 0.691
Au 0.655 0.655 0.309
Cu 0.000 0.000 0.000
! M_tot: 0.000 μB/f.u.
! Volume: 16.1 Å³ per atom



<3>
! CuAu2 (GGA-PBE, relaxed); values from VASP
&SYSTEM
  ibrav = 0, nat = 6, ntyp = 2
/
ATOMIC_SPECIES
Au 196.97 Au.upf
Cu 63.55 Cu.upf
CELL_PARAMETERS angstrom
6.878 0.220 0.000
-6.225 2.933 0.000
0.000 0.000 4.502
ATOMIC_POSITIONS crystal
Au 0.041 0.959 0.000
Au 0.198 0.802 0.500
Au 0.357 0.643 0.000
Au 0.514 0.486 0.500
Cu 0.700 0.300 0.000
Cu 0.855 0.145 0.500
! M_tot: 0.000 μB/f.u.
! Volume: 16.2 Å³ per atom



Which structure is the most stable? The one labeled <2>.



<1>
! CuAu2 (GGA-PBE, relaxed); values from VASP
&SYSTEM
  ibrav = 0, nat = 3, ntyp = 2
/
ATOMIC_SPECIES
Au 196.97 Au.upf
Cu 63.55 Cu.upf
CELL_PARAMETERS angstrom
2.882 0.000 0.000
-1.441 2.496 0.000
0.000 0.000 6.826
ATOMIC_POSITIONS crystal
Au 0.333 0.667 0.313
Au 0.667 0.333 0.687
Cu 0.000 0.000 0.000
! M_tot: 0.000 μB/f.u.
! Volume: 16.4 Å³ per atom



<2>
! CuAu2 (GGA-PBE, relaxed); values from VASP
&SYSTEM
  ibrav = 0, nat = 12, ntyp = 2
/
ATOMIC_SPECIES
Au 196.97 Au.upf
Cu 63.55 Cu.upf
CELL_PARAMETERS angstrom
-1.642 0.644 3.618
0.493 -3.888 0.916
10.308 0.819 6.770
ATOMIC_POSITIONS crystal
Au 0.749 0.749 0.501
Au 0.251 0.251 0.499
Au 0.499 0.999 0.001
Au 0.001 0.501 0.999
Au 0.585 0.585 0.829
Au 0.415 0.415 0.171
Au 0.335 0.835 0.329
Au 0.165 0.665 0.671
Cu 0.914 0.914 0.171
Cu 0.086 0.086 0.829
Cu 0.664 0.164 0.671
Cu 0.836 0.336 0.329
! M_tot: 0.000 μB/f.u.
! Volume: 16.2 Å³ per atom



<3>
! CuAu2 (GGA-PBE, relaxed); values from VASP
&SYSTEM
  ibrav = 0, nat = 12, ntyp = 2
/
ATOMIC_SPECIES
Au 196.97 Au.upf
Cu 63.55 Cu.upf
CELL_PARAMETERS angstrom
-2.620 -3.694 -3.548
-1.004 -2.307 3.143
-7.186 4.282 0.848
ATOMIC_POSITIONS crystal
Au 0.095 0.250 0.234
Au 0.144 0.250 0.577
Au 0.356 0.750 0.077
Au 0.405 0.750 0.734
Au 0.595 0.250 0.266
Au 0.644 0.250 0.923
Au 0.856 0.750 0.423
Au 0.905 0.750 0.766
Cu 0.139 0.250 0.913
Cu 0.361 0.750 0.413
Cu 0.639 0.250 0.587
Cu 0.861 0.750 0.087
! M_tot: 0.000 μB/f.u.
! Volume: 16.2 Å³ per atom



<4>
! CuAu2 (GGA-PBE, relaxed); values from VASP
&SYSTEM
  ibrav = 0, nat = 6, ntyp = 2
/
ATOMIC_SPECIES
Au 196.97 Au.upf
Cu 63.55 Cu.upf
CELL_PARAMETERS angstrom
5.661 0.018 -0.009
4.921 2.797 -0.009
-8.749 -2.328 6.178
ATOMIC_POSITIONS crystal
Au 0.987 0.987 0.955
Au 0.124 0.124 0.767
Au 0.472 0.472 0.423
Au 0.639 0.639 0.299
Cu 0.318 0.318 0.631
Cu 0.794 0.794 0.091
! M_tot: 0.000 μB/f.u.
! Volume: 16.2 Å³ per atom



Which structure is the most stable? The one labeled <4>.



<1>
! CuAu4 (GGA-PBE, relaxed); values from VASP
&SYSTEM
  ibrav = 0, nat = 5, ntyp = 2
/
ATOMIC_SPECIES
Au 196.97 Au.upf
Cu 63.55 Cu.upf
CELL_PARAMETERS angstrom
2.953 0.000 0.000
-1.476 11.367 -0.027
1.476 -0.186 2.550
ATOMIC_POSITIONS crystal
Au 0.994 0.982 0.994
Au 0.398 0.195 0.398
Au 0.802 0.405 0.802
Au 0.206 0.618 0.206
Cu 0.600 0.800 0.600
! M_tot: 0.000 μB/f.u.
! Volume: 17.1 Å³ per atom



<2>
! CuAu4 (GGA-PBE, relaxed); values from VASP
&SYSTEM
  ibrav = 0, nat = 5, ntyp = 2
/
ATOMIC_SPECIES
Au 196.97 Au.upf
Cu 63.55 Cu.upf
CELL_PARAMETERS angstrom
2.905 0.000 0.000
-1.453 4.967 -0.026
1.453 -0.830 5.901
ATOMIC_POSITIONS crystal
Au 0.012 0.001 0.977
Au 0.383 0.170 0.405
Au 0.817 0.430 0.795
Au 0.188 0.599 0.223
Cu 0.600 0.800 0.600
! M_tot: 0.000 μB/f.u.
! Volume: 17.0 Å³ per atom



<3>
! CuAu4 (GGA-PBE, relaxed); values from VASP
&SYSTEM
  ibrav = 0, nat = 10, ntyp = 2
/
ATOMIC_SPECIES
Cu 63.55 Cu.upf
Au 196.97 Au.upf
CELL_PARAMETERS angstrom
-3.075 0.377 6.925
-3.187 -3.526 1.461
2.663 -2.768 5.488
ATOMIC_POSITIONS crystal
Cu 0.103 0.250 0.795
Cu 0.897 0.750 0.205
Au 0.553 0.155 0.593
Au 0.854 0.345 0.593
Au 0.231 0.175 0.115
Au 0.654 0.325 0.115
Au 0.769 0.825 0.885
Au 0.346 0.675 0.885
Au 0.146 0.655 0.407
Au 0.447 0.845 0.407
! M_tot: 0.000 μB/f.u.
! Volume: 18.1 Å³ per atom



Which structure is the most stable? The one labeled <2>.